Entry 1:
Computed, not measured: a relaxed structure of Pr2AgGeSe5 at the GGA-PBE level of DFT.

ΔE_f (raw) (eV/atom): -1.09
Total moment (μB per atom): 0.000

```
data_Pr2AgGeSe5
_chemical_formula_sum 'Pr8 Ag4 Ge4 Se20'
_symmetry_space_group_name_H-M 'C m c 21'
_symmetry_Int_Tables_number 36
_symmetry_space_group_name_Hall 'C 2c -2'
_cell_length_a 4.276
_cell_length_b 18.095
_cell_length_c 11.755
_cell_angle_alpha 90.00
_cell_angle_beta 90.00
_cell_angle_gamma 90.00
loop_
_atom_site_label
_atom_site_type_symbol
_atom_site_fract_x
_atom_site_fract_y
_atom_site_fract_z
Pr1 Pr 0.000 0.119 0.000
Pr2 Pr 0.000 0.128 0.619
Ag1 Ag 0.000 0.223 0.346
Ge1 Ge 0.000 0.430 0.779
Se1 Se 0.000 0.043 0.381
Se2 Se 0.000 0.290 0.994
Se3 Se 0.000 0.314 0.666
Se4 Se 0.000 0.368 0.313
Se5 Se 0.000 0.497 0.593
```

Entry 2:
Computed, not measured: a relaxed structure of AcNdGe2 at the GGA-PBE level of DFT.

E_form (kJ/mol of formula units): -288
Total moment (μB per atom): 0.000

```
data_AcNdGe2
_chemical_formula_sum 'Ac2 Nd2 Ge4'
_symmetry_space_group_name_H-M 'P m c 21'
_symmetry_Int_Tables_number 26
_symmetry_space_group_name_Hall 'P 2c -2'
_cell_length_a 4.213
_cell_length_b 6.214
_cell_length_c 8.514
_cell_angle_alpha 90.00
_cell_angle_beta 90.00
_cell_angle_gamma 90.00
loop_
_atom_site_label
_atom_site_type_symbol
_atom_site_fract_x
_atom_site_fract_y
_atom_site_fract_z
Ac1 Ac 0.000 0.128 0.000
Nd1 Nd 0.500 0.370 0.362
Ge1 Ge 0.000 0.395 0.642
Ge2 Ge 0.500 0.136 0.714
```

| no. | electronic total energy (eV per atom) |
| --- | --- |
| 1 | -4.91 |
| 2 | -5.27 |